Compound: Tb3HoTm2P6
Source: the Alexandria database
Functional: GGA-PBE
Structure: optimized geometry

```
Tb3HoTm2P6
1.0
6.9192 -0.0004 0.0013
-3.4582 5.9930 0.0013
-1.1534 -1.9972 6.5220
P Tb Ho Tm
6 3 1 2
direct
0.5834 0.9180 0.7541 P
0.2527 0.2527 0.7542 P
0.0820 0.4166 0.2459 P
0.9180 0.5834 0.7541 P
0.7473 0.7473 0.2458 P
0.4166 0.0820 0.2459 P
0.1664 0.8336 0.5000 Tb
0.8336 0.1664 0.5000 Tb
0.5000 0.5000 0.5000 Tb
0.0000 0.0000 0.0000 Ho
0.6667 0.3333 0.0000 Tm
0.3333 0.6667 0.0000 Tm
```

**Raw total energy**: -79.2 eV per cell
**Formation energy**: -1609 meV per atom
**Fermi-level density of states**: 0.14 states/eV/atom

---

Compound: Ta2BPPd
Source: the Alexandria database
Functional: GGA-PBE
Structure: optimized geometry

```
Ta2BPPd
1.0
-2.7547 1.1526 -3.3204
1.4061 -2.6783 -2.0962
-3.0729 -2.8376 1.5644
B Ta Pd P
1 2 1 1
direct
0.0000 0.0000 0.0000 B
0.5000 0.0000 0.0000 Ta
0.0000 0.0000 0.5000 Ta
0.5000 0.5000 0.5000 Pd
0.0000 0.5000 0.0000 P
```

**Raw total energy**: -39.8 eV per cell
**Formation energy**: 231 meV per atom
**Fermi-level density of states**: 0.96 states/eV/atom

---

Compound: Cu5AgAu6
Source: the Alexandria database
Functional: GGA-PBE
Structure: optimized geometry

```
Cu5AgAu6
1.0
-1.3910 -6.9155 4.6392
1.0492 -3.6301 -1.6075
6.1000 -1.2903 1.6503
Au Ag Cu
6 1 5
direct
0.2643 0.2356 0.0000 Au
0.2570 0.9098 0.6618 Au
0.7430 0.0902 0.3382 Au
0.7357 0.7644 0.0000 Au
0.7430 0.4283 0.6618 Au
0.2570 0.5717 0.3382 Au
0.0000 0.0000 0.0000 Ag
0.5000 0.8330 0.3340 Cu
0.5000 0.1670 0.6660 Cu
0.0000 0.6701 0.6599 Cu
0.5000 0.5000 0.0000 Cu
0.0000 0.3299 0.3401 Cu
```

**Raw total energy**: -43.3 eV per cell
**Formation energy**: -27 meV per atom
**Fermi-level density of states**: 0.28 states/eV/atom

---

Compound: RbNbHS2
Source: the Alexandria database
Functional: GGA-PBE
Structure: optimized geometry

```
RbNbHS2
1.0
-3.0966 -0.9811 3.5620
-1.2412 -3.0574 -1.9212
3.3458 -2.7159 2.1607
S Nb Rb H
2 1 1 1
direct
0.0000 0.0000 0.5000 S
0.5000 0.0000 0.0000 S
0.5000 0.5000 0.5000 Nb
0.0000 0.5000 0.0000 Rb
0.0000 0.0000 0.0000 H
```

**Raw total energy**: -19.2 eV per cell
**Fermi-level density of states**: 0.75 states/eV/atom

---

Compound: KCr2Mo
Source: the Alexandria database
Functional: GGA-PBE
Structure: optimized geometry

```
KCr2Mo
1.0
-0.1231 2.3788 0.9383
-1.7982 0.5874 -1.7251
-7.4893 -3.0564 6.7661
Cr K Mo
2 1 1
direct
0.0000 0.0000 0.9567 Cr
0.0000 0.0000 0.5433 Cr
0.5000 0.5000 0.2500 K
0.5000 0.5000 0.7500 Mo
```

**Raw total energy**: -26.5 eV per cell
**Formation energy**: 1168 meV per atom
**Fermi-level density of states**: 0.93 states/eV/atom

---

Compound: TbDySc6
Source: the Alexandria database
Functional: GGA-PBE
Structure: optimized geometry

```
TbDySc6
1.0
5.3053 0.0000 0.0000
0.0000 6.7735 -0.2206
0.0000 -3.1967 5.9758
Sc Tb Dy
6 1 1
direct
0.0000 0.5866 0.4134 Sc
0.5000 0.9135 0.0865 Sc
0.5000 0.9134 0.5759 Sc
0.0000 0.5867 0.9245 Sc
0.5000 0.4241 0.0866 Sc
0.0000 0.0755 0.4133 Sc
0.5000 0.4170 0.5830 Tb
0.0000 0.0830 0.9170 Dy
```

**Raw total energy**: -47.2 eV per cell
**Formation energy**: 6 meV per atom
**Fermi-level density of states**: 1.91 states/eV/atom